Record 1
Compound: TbNiO3
Source: the Alexandria database
Functional: PBE with a Hubbard U
Structure: optimized geometry

Calculated total energy in eV/atom: -6.59
Calculated volume in Å³ per cell: 220

Cell: 5.6160 7.5061 5.2296 Å, 90.00 90.00 90.00°
Last column: nearest neighbours and their distance in Å.
Space group Pnma (No. 62)
Inequivalent atoms, fractional coordinates:
Tb1 0.0760 0.2500 0.0204 x4  6 O 2.27-2.46
Ni1 0.0000 0.0000 0.5000 x4  6 O 1.95-2.04
O1 0.0284 0.7500 0.3989 x4  2 Ni 1.96
O2 0.1936 0.5509 0.8019 x8  2 Ni 1.95-2.04

Record 2
Compound: TbNi2O4
Source: the Alexandria database
Functional: PBE with a Hubbard U
Structure: optimized geometry

Calculated total energy in eV/atom: -6.00
Calculated volume in Å³ per cell: 313

Cell: 6.8298 6.8298 6.7016 Å, 90.00 90.00 90.00°
Last column: nearest neighbours and their distance in Å.
Space group I4_1/amd (No. 141, origin choice 2)
Inequivalent atoms, fractional coordinates:
Tb1 0.0000 0.2500 0.3750 x4  4 O 2.24
Ni1 0.0000 0.0000 0.0000 x8  6 O 2.00-2.13
O1 0.0000 0.0670 0.7087 x16  3 Ni 2.00-2.13, 1 Tb 2.24

Record 3
Compound: TbNiO3
Source: the Alexandria database
Functional: PBE with a Hubbard U
Structure: optimized geometry

Calculated total energy in eV/atom: -6.55
Calculated volume in Å³ per cell: 326

Cell: 5.4698 5.4698 12.5698 Å, 90.00 90.00 120.00°
Last column: nearest neighbours and their distance in Å.
Space group R-3c (No. 167, hexagonal axes)
Inequivalent atoms, fractional coordinates:
Tb1 0.0000 0.0000 0.2500 x6  3 O 2.25
Ni1 0.0000 0.0000 0.0000 x6  6 O 1.95
O1 0.0000 0.4121 0.2500 x18  2 Ni 1.95